[1]
Here is a relaxed Rb4CaBr5 crystal from the Alexandria database. Energies are from GGA-PBE.

```
data_Rb4CaBr5
_chemical_formula_sum 'Rb4 Ca1 Br5'
_symmetry_space_group_name_H-M 'P 1'
_symmetry_Int_Tables_number 1
_cell_length_a 7.081
_cell_length_b 8.623
_cell_length_c 8.623
_cell_angle_alpha 80.30
_cell_angle_beta 65.76
_cell_angle_gamma 65.76
loop_
_symmetry_equiv_pos_as_xyz
'x,y,z'
loop_
_atom_site_label
_atom_site_type_symbol
_atom_site_fract_x
_atom_site_fract_y
_atom_site_fract_z
Br1 Br 0.086 0.666 0.165
Rb1 Rb 0.203 0.199 0.402
Br2 Br 0.251 0.835 0.666
Br3 Br 0.451 0.000 0.000
Rb2 Rb 0.402 0.402 0.801
Ca1 Ca 0.040 0.000 0.000
Br4 Br 0.917 0.334 0.835
Br5 Br 0.752 0.165 0.334
Rb3 Rb 0.804 0.801 0.598
Rb4 Rb 0.605 0.598 0.199
```

Calculated values
SG	I4
DOS at the Fermi energy	0.218	states/eV/atom
total magnetic moment	0.0	μB per cell

=====

[2]
Here is a relaxed RbCaBr3 crystal from the Alexandria database. Energies are from GGA-PBE.

```
data_RbCaBr3
_chemical_formula_sum 'Rb2 Ca2 Br6'
_symmetry_space_group_name_H-M 'P 1'
_symmetry_Int_Tables_number 1
_cell_length_a 22.794
_cell_length_b 9.654
_cell_length_c 9.654
_cell_angle_alpha 154.84
_cell_angle_beta 151.22
_cell_angle_gamma 28.78
loop_
_symmetry_equiv_pos_as_xyz
'x,y,z'
loop_
_atom_site_label
_atom_site_type_symbol
_atom_site_fract_x
_atom_site_fract_y
_atom_site_fract_z
Br1 Br 0.482 0.371 0.629
Br2 Br 0.788 0.195 0.805
Br3 Br 0.877 0.809 0.191
Br4 Br 0.123 0.191 0.809
Ca1 Ca 0.298 0.115 0.885
Br5 Br 0.518 0.629 0.371
Ca2 Ca 0.702 0.885 0.115
Rb1 Rb 0.223 0.450 0.550
Br6 Br 0.212 0.805 0.195
Rb2 Rb 0.777 0.550 0.450
```

Calculated values
SG	C2/m
DOS at the Fermi energy	0.000	states/eV/atom
total magnetic moment	0.0	μB per cell

=====

[3]
Here is a relaxed RbCaBr2 crystal from the Alexandria database. Energies are from GGA-PBE.

```
data_RbCaBr2
_chemical_formula_sum 'Rb2 Ca2 Br4'
_symmetry_space_group_name_H-M 'P 1'
_symmetry_Int_Tables_number 1
_cell_length_a 7.316
_cell_length_b 7.316
_cell_length_c 9.175
_cell_angle_alpha 66.50
_cell_angle_beta 66.50
_cell_angle_gamma 90.00
loop_
_symmetry_equiv_pos_as_xyz
'x,y,z'
loop_
_atom_site_label
_atom_site_type_symbol
_atom_site_fract_x
_atom_site_fract_y
_atom_site_fract_z
Ca1 Ca 0.250 0.750 0.500
Br1 Br 0.875 0.787 0.750
Ca2 Ca 0.500 0.500 0.000
Rb1 Rb 0.000 0.000 0.000
Br2 Br 0.537 0.125 0.250
Br3 Br 0.375 0.463 0.750
Br4 Br 0.213 0.625 0.250
Rb2 Rb 0.750 0.250 0.500
```

Calculated values
SG	I-42d
DOS at the Fermi energy	0.933	states/eV/atom
energy above the most stable polymorph in this dataset	0.100	eV per atom
total magnetic moment	0.2	μB per cell

=====

[4]
Here is a relaxed Rb2CaBr4 crystal from the Alexandria database. Energies are from GGA-PBE.

```
data_Rb2CaBr4
_chemical_formula_sum 'Rb2 Ca1 Br4'
_symmetry_space_group_name_H-M 'P 1'
_symmetry_Int_Tables_number 1
_cell_length_a 4.431
_cell_length_b 9.228
_cell_length_c 8.988
_cell_angle_alpha 131.10
_cell_angle_beta 104.27
_cell_angle_gamma 90.00
loop_
_symmetry_equiv_pos_as_xyz
'x,y,z'
loop_
_atom_site_label
_atom_site_type_symbol
_atom_site_fract_x
_atom_site_fract_y
_atom_site_fract_z
Ca1 Ca 0.000 0.000 0.000
Br1 Br 0.349 0.761 0.699
Br2 Br 0.946 0.234 0.892
Rb1 Rb 0.652 0.628 0.305
Br3 Br 0.651 0.239 0.301
Br4 Br 0.054 0.766 0.108
Rb2 Rb 0.348 0.372 0.695
```

Calculated values
SG	C2/m
DOS at the Fermi energy	0.000	states/eV/atom
total magnetic moment	0.0	μB per cell

=====

[5]
Here is a relaxed Rb3Ca2Br6 crystal from the Alexandria database. Energies are from GGA-PBE.

```
data_Rb3Ca2Br6
_chemical_formula_sum 'Rb3 Ca2 Br6'
_symmetry_space_group_name_H-M 'P 1'
_symmetry_Int_Tables_number 1
_cell_length_a 5.763
_cell_length_b 5.763
_cell_length_c 13.891
_cell_angle_alpha 101.97
_cell_angle_beta 101.97
_cell_angle_gamma 90.00
loop_
_symmetry_equiv_pos_as_xyz
'x,y,z'
loop_
_atom_site_label
_atom_site_type_symbol
_atom_site_fract_x
_atom_site_fract_y
_atom_site_fract_z
Br1 Br 0.415 0.915 0.830
Br2 Br 0.585 0.085 0.170
Ca1 Ca 0.585 0.585 0.170
Rb1 Rb 0.821 0.821 0.642
Br3 Br 0.694 0.694 0.387
Br4 Br 0.085 0.585 0.170
Br5 Br 0.306 0.306 0.613
Rb2 Rb 0.000 0.000 0.000
Ca2 Ca 0.415 0.415 0.830
Br6 Br 0.915 0.415 0.830
Rb3 Rb 0.179 0.179 0.358
```

Calculated values
SG	I4/mmm
DOS at the Fermi energy	0.189	states/eV/atom
total magnetic moment	1.0	μB per cell

=====

[6]
Here is a relaxed RbCa2Br crystal from the Alexandria database. Energies are from GGA-PBE.

```
data_RbCa2Br
_chemical_formula_sum 'Rb1 Ca2 Br1'
_symmetry_space_group_name_H-M 'P 1'
_symmetry_Int_Tables_number 1
_cell_length_a 6.428
_cell_length_b 6.428
_cell_length_c 6.428
_cell_angle_alpha 60.00
_cell_angle_beta 60.00
_cell_angle_gamma 60.00
loop_
_symmetry_equiv_pos_as_xyz
'x,y,z'
loop_
_atom_site_label
_atom_site_type_symbol
_atom_site_fract_x
_atom_site_fract_y
_atom_site_fract_z
Br1 Br 0.000 0.000 0.000
Rb1 Rb 0.500 0.500 0.500
Ca1 Ca 0.250 0.250 0.250
Ca2 Ca 0.750 0.750 0.750
```

Calculated values
SG	Fm-3m
DOS at the Fermi energy	1.057	states/eV/atom
energy above the most stable polymorph in this dataset	0.265	eV per atom
total magnetic moment	0.0	μB per cell

=====

Short version: volume = 437.72, 397.24, 405.57, 261.72, 441.11, 187.81 Å³ per cell, in the order given.
Short version: E_form (uncorrected) = -1.6234, -1.8716, -1.3750, -1.8726, -1.7315, -0.0547 eV/atom, in the order given.